(1)
# KZr2TlAs (PBE, optimized geometry)
# Total energy in eV/atom: -4.667
# Mass density in g/cm3: 5.2
# Crystal system: tetragonal
data_KZr2TlAs
_cell_length_a 5.149
_cell_length_b 5.149
_cell_length_c 6.052
_cell_angle_alpha 90.00
_cell_angle_beta 90.00
_cell_angle_gamma 90.00
_symmetry_space_group_name_H-M 'P 4/m m m'
_symmetry_Int_Tables_number 123
_symmetry_space_group_name_Hall '-P 4 2'
loop_
_atom_site_label
_atom_site_type_symbol
_atom_site_fract_x
_atom_site_fract_y
_atom_site_fract_z
K1 K 0.000 0.000 0.000
Zr1 Zr 0.000 0.500 0.500
Tl1 Tl 0.500 0.500 0.000
As1 As 0.500 0.500 0.500

(2)
# Li2Tm3Ge4 (PBE, optimized geometry)
# Total energy in eV/atom: -4.622
# Mass density in g/cm3: 7.6
# Crystal system: monoclinic
data_Li2Tm3Ge4
_cell_length_a 10.915
_cell_length_b 4.144
_cell_length_c 8.227
_cell_angle_alpha 90.00
_cell_angle_beta 108.82
_cell_angle_gamma 90.00
_symmetry_space_group_name_H-M 'C 1 2/m 1'
_symmetry_Int_Tables_number 12
loop_
_symmetry_equiv_pos_as_xyz
'x,y,z'
'-x,-y,-z'
'-x,y,-z'
'x,-y,z'
'x+1/2,y+1/2,z'
'-x+1/2,-y+1/2,-z'
'-x+1/2,y+1/2,-z'
'x+1/2,-y+1/2,z'
loop_
_atom_site_label
_atom_site_type_symbol
_atom_site_fract_x
_atom_site_fract_y
_atom_site_fract_z
Li1 Li 0.184 0.000 0.359
Tm1 Tm 0.000 0.500 0.000
Tm2 Tm 0.128 0.000 0.691
Ge1 Ge 0.074 0.500 0.397
Ge2 Ge 0.209 0.000 0.069

(3)
# TbFe2Ni9 (PBE, optimized geometry)
# Total energy in eV/atom: -6.076
# Mass density in g/cm3: 8.9
# Crystal system: hexagonal
data_TbFe2Ni9
_cell_length_a 8.0985
_cell_length_b 8.0985
_cell_length_c 2.6145
_cell_angle_alpha 90.00
_cell_angle_beta 90.00
_cell_angle_gamma 120.00
_symmetry_space_group_name_H-M 'P 6/m m m'
_symmetry_Int_Tables_number 191
_symmetry_space_group_name_Hall '-P 6 2'
loop_
_atom_site_label
_atom_site_type_symbol
_atom_site_fract_x
_atom_site_fract_y
_atom_site_fract_z
Tb1 Tb 0.0000 0.0000 0.0000
Fe1 Fe 0.3333 0.6667 0.0000
Ni1 Ni 0.0000 0.5000 0.0000
Ni2 Ni 0.1850 0.3700 0.5000

(4)
# Pm2Nd3S4 (PBE, optimized geometry)
# Mass density in g/cm3: 6.1
# E_form (uncorrected) in eV/atom: -1.767
# Crystal system: trigonal
data_Pm2Nd3S4
_cell_length_a 4.0183
_cell_length_b 4.0183
_cell_length_c 16.4751
_cell_angle_alpha 90.00
_cell_angle_beta 90.00
_cell_angle_gamma 120.00
_symmetry_space_group_name_H-M 'P -3 m 1'
_symmetry_Int_Tables_number 164
_symmetry_space_group_name_Hall '-P 3 2"'
loop_
_atom_site_label
_atom_site_type_symbol
_atom_site_fract_x
_atom_site_fract_y
_atom_site_fract_z
Pm1 Pm 0.3333 0.6667 0.2040
Nd1 Nd 0.0000 0.0000 0.0000
Nd2 Nd 0.3333 0.6667 0.5940
S1 S 0.0000 0.0000 0.3039
S2 S 0.3333 0.6667 0.8970

Question: mass density of number 1 (KZr2TlAs)?
Answer: 5.2 g/cm3

Question: Which of these has the lowest mass density?
Answer: KZr2TlAs